# La2ScAlOs2

An optimized crystal structure of La2ScAlOs2 (PBE-GGA, Alexandria).

```
La2ScAlOs2
1.0
-2.918 7.674 3.027
2.918 -7.674 3.027
2.918 7.674 -3.027
La Sc Al Os
4 2 2 4
Direct
0.170 0.226 0.396
0.330 0.726 0.056
0.670 0.274 0.944
0.830 0.774 0.604
0.250 0.750 0.500
0.750 0.250 0.500
0.250 0.250 0.000
0.750 0.750 0.000
0.109 0.752 0.861
0.391 0.252 0.642
0.609 0.748 0.358
0.891 0.248 0.139
```

Values from the calculation:
The formation enthalpy at 0 K comes out at -0.32 eV/atom. The value obtained for the total moment is 0.00 μB per formula unit. For the density of states at the Fermi level, the calculation gives 0.600 states/eV/atom.